1.
# PBE-GGA Ce12Th7Sc, relaxed
# magnetic moment = 13.71 μB/f.u.
# ΔE_f = 844.5 meV/atom
data_Ce12Th7Sc
_chemical_formula_sum 'Ce24 Th14 Sc2'
_cell_length_a 11.037
_cell_length_b 11.037
_cell_length_c 11.037
_cell_angle_alpha 90.00
_cell_angle_beta 90.00
_cell_angle_gamma 90.00
_symmetry_space_group_name_H-M 'I m -3'
_symmetry_Int_Tables_number 204
_symmetry_space_group_name_Hall '-I 2 2 3'
loop_
_atom_site_label
_atom_site_type_symbol
_atom_site_fract_x
_atom_site_fract_y
_atom_site_fract_z
Ce1 Ce 0.000 0.193 0.287
Th1 Th 0.000 0.000 0.500
Th2 Th 0.250 0.250 0.250
Sc1 Sc 0.000 0.000 0.000

2.
# PBE-GGA ZrZnTe2, relaxed
# magnetic moment = 0.00 μB/f.u.
# formation energy without anion corrections = -0.6149 eV/atom
data_ZrZnTe2
_chemical_formula_sum 'Zr1 Zn1 Te2'
_cell_length_a 4.003
_cell_length_b 4.139
_cell_length_c 6.108
_cell_angle_alpha 90.00
_cell_angle_beta 109.13
_cell_angle_gamma 90.00
_symmetry_space_group_name_H-M 'P 1 m 1'
_symmetry_Int_Tables_number 6
_symmetry_space_group_name_Hall 'P -2y'
loop_
_atom_site_label
_atom_site_type_symbol
_atom_site_fract_x
_atom_site_fract_y
_atom_site_fract_z
Zr1 Zr 0.000 0.000 0.000
Zn1 Zn 0.830 0.500 0.656
Te1 Te 0.308 0.000 0.616
Te2 Te 0.590 0.500 0.179

3.
# PBE-GGA Ce6As2P3S, relaxed
# magnetic moment = 4.16 μB/f.u.
# formation energy without anion corrections = -1.5686 eV/atom
data_Ce6As2P3S
_chemical_formula_sum 'Ce12 As4 P6 S2'
_cell_length_a 17.996
_cell_length_b 4.124
_cell_length_c 8.255
_cell_angle_alpha 90.00
_cell_angle_beta 103.42
_cell_angle_gamma 90.00
_symmetry_space_group_name_H-M 'C 1 2/m 1'
_symmetry_Int_Tables_number 12
_symmetry_space_group_name_Hall '-C 2y'
loop_
_atom_site_label
_atom_site_type_symbol
_atom_site_fract_x
_atom_site_fract_y
_atom_site_fract_z
Ce1 Ce 0.002 0.000 0.250
Ce2 Ce 0.165 0.500 0.088
Ce3 Ce 0.167 0.500 0.577
As1 As 0.166 0.000 0.833
P1 P 0.000 0.500 0.000
P2 P 0.167 0.000 0.334
S1 S 0.000 0.500 0.500

4.
# PBE-GGA Ba2AlZn4Au3, relaxed
# magnetic moment = 0.00 μB/f.u.
# ΔE_f = -424.9 meV/atom
data_Ba2AlZn4Au3
_chemical_formula_sum 'Ba2 Al1 Zn4 Au3'
_cell_length_a 4.546
_cell_length_b 4.546
_cell_length_c 11.277
_cell_angle_alpha 90.00
_cell_angle_beta 90.00
_cell_angle_gamma 90.00
_symmetry_space_group_name_H-M 'P -4 m 2'
_symmetry_Int_Tables_number 115
_symmetry_space_group_name_Hall 'P -4 -2'
loop_
_atom_site_label
_atom_site_type_symbol
_atom_site_fract_x
_atom_site_fract_y
_atom_site_fract_z
Ba1 Ba 0.000 0.500 0.249
Al1 Al 0.500 0.500 0.000
Zn1 Zn 0.000 0.000 0.500
Zn2 Zn 0.000 0.500 0.873
Zn3 Zn 0.500 0.500 0.500
Au1 Au 0.000 0.000 0.000
Au2 Au 0.000 0.500 0.630

5.
# PBE-GGA Tb2Ho3Ru3, relaxed
# magnetic moment = 0.00 μB/f.u.
# ΔE_f = -299.5 meV/atom
data_Tb2Ho3Ru3
_chemical_formula_sum 'Tb4 Ho6 Ru6'
_cell_length_a 3.457
_cell_length_b 5.079
_cell_length_c 20.655
_cell_angle_alpha 90.00
_cell_angle_beta 90.00
_cell_angle_gamma 90.00
_symmetry_space_group_name_H-M 'I m m m'
_symmetry_Int_Tables_number 71
_symmetry_space_group_name_Hall '-I 2 2'
loop_
_atom_site_label
_atom_site_type_symbol
_atom_site_fract_x
_atom_site_fract_y
_atom_site_fract_z
Tb1 Tb 0.000 0.000 0.218
Ho1 Ho 0.000 0.000 0.000
Ho2 Ho 0.000 0.500 0.110
Ru1 Ru 0.000 0.000 0.500
Ru2 Ru 0.000 0.500 0.386

6.
# PBE-GGA Sr2Si4Ni5, relaxed
# magnetic moment = 0.00 μB/f.u.
# formation energy without anion corrections = -0.5084 eV/atom
data_Sr2Si4Ni5
_chemical_formula_sum 'Sr8 Si16 Ni20'
_cell_length_a 5.514
_cell_length_b 9.998
_cell_length_c 13.132
_cell_angle_alpha 90.00
_cell_angle_beta 90.00
_cell_angle_gamma 90.00
_symmetry_space_group_name_H-M 'F m m m'
_symmetry_Int_Tables_number 69
_symmetry_space_group_name_Hall '-F 2 2'
loop_
_atom_site_label
_atom_site_type_symbol
_atom_site_fract_x
_atom_site_fract_y
_atom_site_fract_z
Sr1 Sr 0.000 0.000 0.139
Si1 Si 0.000 0.162 0.374
Ni1 Ni 0.000 0.000 0.500
Ni2 Ni 0.250 0.250 0.000
Ni3 Ni 0.250 0.250 0.250

7.
# PBE-GGA BeCd2As, relaxed
# magnetic moment = 0.00 μB/f.u.
# ΔE_f = 433.5 meV/atom
data_BeCd2As
_chemical_formula_sum 'Be1 Cd2 As1'
_cell_length_a 4.221
_cell_length_b 4.221
_cell_length_c 4.242
_cell_angle_alpha 90.00
_cell_angle_beta 90.00
_cell_angle_gamma 90.00
_symmetry_space_group_name_H-M 'P 4/m m m'
_symmetry_Int_Tables_number 123
_symmetry_space_group_name_Hall '-P 4 2'
loop_
_atom_site_label
_atom_site_type_symbol
_atom_site_fract_x
_atom_site_fract_y
_atom_site_fract_z
Be1 Be 0.000 0.000 0.000
Cd1 Cd 0.000 0.500 0.500
As1 As 0.500 0.500 0.000

8.
# PBE-GGA BaTcMo2, relaxed
# magnetic moment = 0.00 μB/f.u.
# ΔE_f = 1212.4 meV/atom
data_BaTcMo2
_chemical_formula_sum 'Ba4 Tc4 Mo8'
_cell_length_a 6.723
_cell_length_b 6.723
_cell_length_c 6.723
_cell_angle_alpha 90.00
_cell_angle_beta 90.00
_cell_angle_gamma 90.00
_symmetry_space_group_name_H-M 'F -4 3 m'
_symmetry_Int_Tables_number 216
_symmetry_space_group_name_Hall 'F -4 2 3'
loop_
_atom_site_label
_atom_site_type_symbol
_atom_site_fract_x
_atom_site_fract_y
_atom_site_fract_z
Ba1 Ba 0.000 0.000 0.000
Tc1 Tc 0.250 0.250 0.750
Mo1 Mo 0.000 0.000 0.500
Mo2 Mo 0.250 0.250 0.250

- Which value of magnetic moment does entry 2 give?
  0.00 μB/f.u.